4
Lattice="3.263 -5.340 0.000 3.263 5.340 0.000 -0.075 0.000 4.104" Properties=species:S:1:pos:R:3 comment="K2LiPb PBEsol relaxed" n_ef_per_ev_atom=0.809 formation_enthalpy_0k_mev_per_atom=45 total_magnetization_mub_per_fu=0.00 pbc="T T T"
K 1.631 2.670 0.000
K 1.631 -2.670 0.000
Li -0.038 0.000 2.052
Pb 3.225 0.000 2.052